Record 1
# In2Hg7H2

An optimized crystal structure of In2Hg7H2 (GGA-PBE, Alexandria via LeMat-Bulk).

uncorrected energy = -1.13 eV per atom
space group = No. 12
magnetization = 0.000 μB per formula unit

Cell: 7.436 7.436 5.362 Å, 104.88 104.88 84.65°
Fractional positions:
In  0.214  0.214  0.361
In  0.786  0.786  0.639
Hg  0.088  0.088  0.784
Hg  0.116  0.523  0.815
Hg  0.477  0.884  0.185
Hg  0.500  0.500  0.500
Hg  0.523  0.116  0.815
Hg  0.884  0.477  0.185
Hg  0.912  0.912  0.216
H  0.322  0.678  0.000
H  0.678  0.322  0.000

Record 2
# In2HgH

An optimized crystal structure of In2HgH (GGA-PBE, Alexandria via LeMat-Bulk).

offset from the most stable computed form = 90 meV/atom
space group = No. 122
magnetization = 0.000 μB per formula unit

Cell: 7.539 7.539 7.539 Å, 137.64 137.64 61.46°
Fractional positions:
In  0.005  0.625  0.880
In  0.375  0.255  0.380
In  0.745  0.125  0.120
In  0.875  0.995  0.620
Hg  0.250  0.750  0.500
Hg  0.500  0.500  0.000
H  0.000  0.000  0.000
H  0.750  0.250  0.500

Record 3
# InHgH2

An optimized crystal structure of InHgH2 (GGA-PBE, Alexandria via LeMat-Bulk).

offset from the most stable computed form = 133 meV/atom
space group = No. 65
magnetization = 0.000 μB per formula unit

Cell: 4.917 4.917 4.551 Å, 90.00 90.00 131.80°
Fractional positions:
In  0.000  0.000  0.000
Hg  0.500  0.500  0.500
H  0.190  0.810  0.000
H  0.810  0.190  0.000

Record 4
# In3Hg5H2

An optimized crystal structure of In3Hg5H2 (GGA-PBE, Alexandria via LeMat-Bulk).

uncorrected energy = -1.52 eV per atom
space group = No. 2
magnetization = 0.000 μB per formula unit

Cell: 5.951 9.524 9.532 Å, 110.85 97.39 97.38°
Fractional positions:
In  0.181  0.152  0.303
In  0.251  0.598  0.402
In  0.319  0.697  0.848
In  0.681  0.303  0.152
In  0.749  0.402  0.598
In  0.819  0.848  0.697
Hg  0.019  0.834  0.269
Hg  0.167  0.403  0.053
Hg  0.249  0.403  0.597
Hg  0.333  0.947  0.596
Hg  0.478  0.731  0.165
Hg  0.522  0.269  0.835
Hg  0.667  0.053  0.404
Hg  0.751  0.597  0.403
Hg  0.833  0.597  0.947
Hg  0.981  0.166  0.731
H  0.099  0.828  0.821
H  0.400  0.179  0.173
H  0.600  0.821  0.827
H  0.901  0.172  0.179

Record 5
# InHg2H

An optimized crystal structure of InHg2H (GGA-PBE, Alexandria via LeMat-Bulk).

offset from the most stable computed form = 169 meV/atom
space group = No. 122
magnetization = 0.000 μB per formula unit

Cell: 7.559 7.559 7.559 Å, 138.76 138.76 59.74°
Fractional positions:
In  0.000  0.000  0.000
In  0.750  0.250  0.500
Hg  0.248  0.625  0.123
Hg  0.375  0.498  0.623
Hg  0.502  0.125  0.877
Hg  0.875  0.752  0.377
H  0.250  0.750  0.500
H  0.500  0.500  0.000

Record 6
# InHgH2

An optimized crystal structure of InHgH2 (GGA-PBE, Alexandria via LeMat-Bulk).

offset from the most stable computed form = 0 meV/atom
space group = No. 122
magnetization = 0.000 μB per formula unit

Cell: 6.534 6.534 6.534 Å, 126.73 126.73 78.69°
Fractional positions:
In  0.000  0.000  0.000
In  0.750  0.250  0.500
Hg  0.250  0.750  0.500
Hg  0.500  0.500  0.000
H  0.375  0.139  0.264
H  0.861  0.125  0.236
H  0.875  0.111  0.736
H  0.889  0.625  0.764

Record 7
# InHg2H2

An optimized crystal structure of InHg2H2 (GGA-PBE, Alexandria via LeMat-Bulk).

offset from the most stable computed form = 125 meV/atom
space group = No. 127
magnetization = 0.000 μB per formula unit

Cell: 7.666 7.666 3.728 Å, 90.00 90.00 90.00°
Fractional positions:
In  0.000  0.000  0.000
In  0.500  0.500  0.000
Hg  0.143  0.357  0.000
Hg  0.357  0.857  0.000
Hg  0.643  0.143  0.000
Hg  0.857  0.643  0.000
H  0.139  0.361  0.500
H  0.361  0.861  0.500
H  0.639  0.139  0.500
H  0.861  0.639  0.500

Record 8
# In2HgH

An optimized crystal structure of In2HgH (GGA-PBE, Alexandria via LeMat-Bulk).

offset from the most stable computed form = 0 meV/atom
space group = No. 11
magnetization = 0.000 μB per formula unit

Cell: 3.129 8.717 6.667 Å, 90.00 93.36 90.00°
Fractional positions:
In  0.227  0.040  0.296
In  0.227  0.460  0.296
In  0.773  0.540  0.704
In  0.773  0.960  0.704
Hg  0.277  0.750  0.049
Hg  0.723  0.250  0.951
H  0.223  0.250  0.399
H  0.777  0.750  0.601

Record 9
# In5Hg12H2

An optimized crystal structure of In5Hg12H2 (GGA-PBE, Alexandria via LeMat-Bulk).

uncorrected energy = -1.17 eV per atom
space group = No. 12
magnetization = 0.000 μB per formula unit

Cell: 9.598 9.598 8.501 Å, 103.46 103.46 40.41°
Fractional positions:
In  0.000  0.000  0.000
In  0.217  0.217  0.937
In  0.452  0.452  0.637
In  0.548  0.548  0.363
In  0.783  0.783  0.063
Hg  0.047  0.047  0.682
Hg  0.071  0.557  0.401
Hg  0.095  0.616  0.808
Hg  0.384  0.905  0.192
Hg  0.392  0.392  0.137
Hg  0.443  0.929  0.599
Hg  0.557  0.071  0.401
Hg  0.608  0.608  0.863
Hg  0.616  0.095  0.808
Hg  0.905  0.384  0.192
Hg  0.929  0.443  0.599
Hg  0.953  0.953  0.318
H  0.313  0.687  0.500
H  0.687  0.313  0.500

Record 10
# InHg4H4

An optimized crystal structure of InHg4H4 (GGA-PBE, Alexandria via LeMat-Bulk).

uncorrected energy = -1.55 eV per atom
space group = No. 87
magnetization = 0.000 μB per formula unit

Cell: 6.094 6.094 6.094 Å, 102.62 102.62 124.27°
Fractional positions:
In  0.000  0.000  0.000
Hg  0.223  0.442  0.665
Hg  0.442  0.777  0.219
Hg  0.558  0.223  0.781
Hg  0.777  0.558  0.335
H  0.050  0.245  0.295
H  0.245  0.950  0.195
H  0.755  0.050  0.805
H  0.950  0.755  0.705

Record 11
# In3HgH

An optimized crystal structure of In3HgH (GGA-PBE, Alexandria via LeMat-Bulk).

offset from the most stable computed form = 0 meV/atom
space group = No. 12
magnetization = 0.000 μB per formula unit

Cell: 6.954 6.954 7.360 Å, 118.40 118.40 51.79°
Fractional positions:
In  0.083  0.083  0.414
In  0.369  0.369  0.019
In  0.374  0.374  0.533
In  0.626  0.626  0.467
In  0.631  0.631  0.981
In  0.917  0.917  0.586
Hg  0.144  0.144  0.055
Hg  0.856  0.856  0.945
H  0.271  0.271  0.695
H  0.729  0.729  0.305

Record 12
# In3Hg2H2

An optimized crystal structure of In3Hg2H2 (GGA-PBE, Alexandria via LeMat-Bulk).

uncorrected energy = -2.02 eV per atom
space group = No. 2
magnetization = 0.000 μB per formula unit

Cell: 5.175 5.223 6.485 Å, 94.91 90.72 112.30°
Fractional positions:
In  0.000  0.000  0.000
In  0.357  0.814  0.288
In  0.643  0.186  0.712
Hg  0.204  0.624  0.728
Hg  0.796  0.376  0.272
H  0.397  0.368  0.793
H  0.603  0.632  0.207